The following is a DFT calculation (GGA-PBE) of crystalline SrZrPb2Cl at its relaxed geometry.

abc: 5.5389 5.5389 6.7788
angles: 90.00 90.00 90.00
Fractional coordinates of all 5 atoms:
Sr  0.0000  0.0000  0.0000
Zr  0.0000  0.0000  0.5000
Pb  0.0000  0.5000  0.5000
Pb  0.5000  0.0000  0.5000
Cl  0.5000  0.5000  0.0000

crystal system	tetragonal
E_form (uncorrected)	1.14	kcal/mol of atoms
E	-19.246	eV for the cell shown



The following is a DFT calculation (GGA-PBE) of crystalline MnVTe2N at its relaxed geometry.

abc: 5.3959 5.3959 3.6360
angles: 90.00 90.00 90.00
Fractional coordinates of all 5 atoms:
Mn  0.0000  0.0000  0.0000
V  0.5000  0.5000  0.5000
Te  0.0000  0.5000  0.5000
Te  0.5000  0.0000  0.5000
N  0.5000  0.5000  0.0000

crystal system	tetragonal
energy relative to the lowest polymorph listed for this composition	0	meV/atom
E_form (uncorrected)	4.99	kcal/mol of atoms
E	-31.816	eV for the cell shown



The following is a DFT calculation (GGA-PBE) of crystalline K2TlRu at its relaxed geometry.

abc: 3.3045 5.6411 5.9062
angles: 90.00 95.95 90.00
Fractional coordinates of all 4 atoms:
K  0.0645  0.0000  0.2621
K  0.9355  0.0000  0.7379
Tl  0.5000  0.5000  0.0000
Ru  0.5000  0.5000  0.5000

ΔE_f	0.820	eV/atom
crystal system	monoclinic
energy relative to the lowest polymorph listed for this composition	365	meV/atom
E	-10.556	eV for the cell shown



The following is a DFT calculation (GGA-PBE) of crystalline NaLi2Ga2Ge2 at its relaxed geometry.

abc: 8.8769 8.8769 8.8769
angles: 27.81 27.81 27.81
Fractional coordinates of all 7 atoms:
Na  0.0000  0.0000  0.0000
Li  0.1451  0.1451  0.1451
Li  0.8549  0.8549  0.8549
Ga  0.4429  0.4429  0.4429
Ga  0.5571  0.5571  0.5571
Ge  0.2540  0.2540  0.2540
Ge  0.7460  0.7460  0.7460

ΔE_f	-0.248	eV/atom
crystal system	trigonal
E	-22.170	eV for the cell shown



The following is a DFT calculation (GGA-PBE) of crystalline Al2OsCl at its relaxed geometry.

abc: 4.5062 4.5062 4.5062
angles: 60.00 60.00 60.00
Fractional coordinates of all 4 atoms:
Al  0.2500  0.2500  0.2500
Al  0.7500  0.7500  0.7500
Os  0.0000  0.0000  0.0000
Cl  0.5000  0.5000  0.5000

crystal system	cubic
energy relative to the lowest polymorph listed for this composition	1001	meV/atom
E_form (uncorrected)	12.12	kcal/mol of atoms
E	-18.459	eV for the cell shown



The following is a DFT calculation (GGA-PBE) of crystalline Sr3TiBe2O8 at its relaxed geometry.

abc: 5.3908 5.3908 6.9140
angles: 90.00 90.00 120.00
Fractional coordinates of all 14 atoms:
Sr  0.0000  0.0000  0.0000
Sr  0.3333  0.6667  0.6625
Sr  0.6667  0.3333  0.3375
Ti  0.0000  0.0000  0.5000
Be  0.3333  0.6667  0.2424
Be  0.6667  0.3333  0.7576
O  0.1697  0.3393  0.3308
O  0.1697  0.8303  0.3308
O  0.3333  0.6667  0.0132
O  0.3393  0.1697  0.6692
O  0.6607  0.8303  0.3308
O  0.6667  0.3333  0.9868
O  0.8303  0.1697  0.6692
O  0.8303  0.6607  0.6692

crystal system	trigonal
E_form (uncorrected)	-59.78	kcal/mol of atoms
E	-96.351	eV for the cell shown



The following is a DFT calculation (GGA-PBE) of crystalline SrCrFe2Se at its relaxed geometry.

abc: 4.3421 4.3421 6.2906
angles: 90.00 90.00 90.00
Fractional coordinates of all 5 atoms:
Sr  0.0000  0.0000  0.0000
Cr  0.0000  0.0000  0.5000
Fe  0.0000  0.5000  0.5000
Fe  0.5000  0.0000  0.5000
Se  0.5000  0.5000  0.0000

crystal system	tetragonal
E_form (uncorrected)	16.22	kcal/mol of atoms
E	-28.197	eV for the cell shown



The following is a DFT calculation (GGA-PBE) of crystalline ZnIn3Ga8 at its relaxed geometry.

abc: 7.2302 7.2302 7.2302
angles: 117.26 117.26 94.82
Fractional coordinates of all 12 atoms:
Zn  0.0000  0.0000  0.0000
In  0.2500  0.7500  0.5000
In  0.5000  0.5000  0.0000
In  0.7500  0.2500  0.5000
Ga  0.0886  0.3575  0.0000
Ga  0.1970  0.7194  0.0000
Ga  0.2806  0.2806  0.4776
Ga  0.3575  0.0886  0.0000
Ga  0.6425  0.6425  0.7311
Ga  0.7194  0.1970  0.0000
Ga  0.8030  0.8030  0.5224
Ga  0.9114  0.9114  0.2689

ΔE_f	0.152	eV/atom
crystal system	tetragonal
E	-31.880	eV for the cell shown



The following is a DFT calculation (GGA-PBE) of crystalline KHf2F at its relaxed geometry.

abc: 5.0473 5.0473 5.0473
angles: 60.00 60.00 60.00
Fractional coordinates of all 4 atoms:
K  0.0000  0.0000  0.0000
Hf  0.2500  0.2500  0.2500
Hf  0.7500  0.7500  0.7500
F  0.5000  0.5000  0.5000

crystal system	cubic
energy relative to the lowest polymorph listed for this composition	914	meV/atom
E_form (uncorrected)	23.23	kcal/mol of atoms
E	-18.846	eV for the cell shown



The following is a DFT calculation (GGA-PBE) of crystalline Th3ZrGe5 at its relaxed geometry.

abc: 8.9363 8.9363 6.0591
angles: 90.00 90.00 120.00
Fractional coordinates of all 18 atoms:
Th  0.0000  0.3831  0.2500
Th  0.0000  0.6169  0.7500
Th  0.3831  0.0000  0.2500
Th  0.3831  0.3831  0.7500
Th  0.6169  0.0000  0.7500
Th  0.6169  0.6169  0.2500
Zr  0.0000  0.0000  0.0000
Zr  0.0000  0.0000  0.5000
Ge  0.0000  0.2652  0.7500
Ge  0.0000  0.7348  0.2500
Ge  0.2652  0.0000  0.7500
Ge  0.2652  0.2652  0.2500
Ge  0.3333  0.6667  0.0000
Ge  0.3333  0.6667  0.5000
Ge  0.6667  0.3333  0.0000
Ge  0.6667  0.3333  0.5000
Ge  0.7348  0.0000  0.2500
Ge  0.7348  0.7348  0.7500

ΔE_f	-0.732	eV/atom
crystal system	hexagonal
E	-120.969	eV for the cell shown



The following is a DFT calculation (GGA-PBE) of crystalline Ba2CdBi3Pt4 at its relaxed geometry.

abc: 4.9517 4.9517 10.8553
angles: 90.00 90.00 90.00
Fractional coordinates of all 10 atoms:
Ba  0.0000  0.5000  0.2444
Ba  0.5000  0.0000  0.7556
Cd  0.0000  0.0000  0.5000
Bi  0.0000  0.5000  0.8778
Bi  0.5000  0.0000  0.1222
Bi  0.5000  0.5000  0.5000
Pt  0.0000  0.0000  0.0000
Pt  0.0000  0.5000  0.6216
Pt  0.5000  0.0000  0.3784
Pt  0.5000  0.5000  0.0000

ΔE_f	-0.598	eV/atom
crystal system	tetragonal
E	-46.546	eV for the cell shown



The following is a DFT calculation (GGA-PBE) of crystalline KBaHoCl6 at its relaxed geometry.

abc: 7.5342 7.5342 12.7231
angles: 90.00 90.00 120.00
Fractional coordinates of all 18 atoms:
K  0.3333  0.6667  0.2500
K  0.6667  0.3333  0.7500
Ba  0.0000  0.0000  0.0000
Ba  0.0000  0.0000  0.5000
Ho  0.3333  0.6667  0.7500
Ho  0.6667  0.3333  0.2500
Cl  0.0501  0.3728  0.6314
Cl  0.0501  0.6773  0.8686
Cl  0.3227  0.3728  0.8686
Cl  0.3227  0.9499  0.6314
Cl  0.3728  0.0501  0.1314
Cl  0.3728  0.3227  0.3686
Cl  0.6272  0.6773  0.6314
Cl  0.6272  0.9499  0.8686
Cl  0.6773  0.0501  0.3686
Cl  0.6773  0.6272  0.1314
Cl  0.9499  0.3227  0.1314
Cl  0.9499  0.6272  0.3686

crystal system	trigonal
E_form (uncorrected)	-53.00	kcal/mol of atoms
E	-78.724	eV for the cell shown



The following is a DFT calculation (GGA-PBE) of crystalline CaLaGe2 at its relaxed geometry.

abc: 3.4437 3.4437 8.4132
angles: 90.00 90.00 90.00
Fractional coordinates of all 4 atoms:
Ca  0.0000  0.0000  0.0000
La  0.0000  0.0000  0.5000
Ge  0.5000  0.5000  0.2453
Ge  0.5000  0.5000  0.7547

ΔE_f	-0.598	eV/atom
crystal system	tetragonal
E	-18.557	eV for the cell shown



The following is a DFT calculation (GGA-PBE) of crystalline RbSb3Mo at its relaxed geometry.

abc: 5.3908 5.3908 5.3908
angles: 90.00 90.00 90.00
Fractional coordinates of all 5 atoms:
Rb  0.0000  0.0000  0.0000
Sb  0.0000  0.5000  0.5000
Sb  0.5000  0.0000  0.5000
Sb  0.5000  0.5000  0.0000
Mo  0.5000  0.5000  0.5000

crystal system	cubic
energy relative to the lowest polymorph listed for this composition	0	meV/atom
E_form (uncorrected)	4.26	kcal/mol of atoms
E	-23.242	eV for the cell shown



The following is a DFT calculation (GGA-PBE) of crystalline LaDy2Th4 at its relaxed geometry.

abc: 9.3778 9.3778 5.5911
angles: 90.00 90.00 90.00
Fractional coordinates of all 14 atoms:
La  0.0000  0.0000  0.0000
La  0.5000  0.5000  0.5000
Dy  0.1863  0.1863  0.5000
Dy  0.3137  0.6863  0.0000
Dy  0.6863  0.3137  0.0000
Dy  0.8137  0.8137  0.5000
Th  0.1206  0.3793  0.0000
Th  0.1207  0.6206  0.5000
Th  0.3793  0.1206  0.0000
Th  0.3794  0.8793  0.5000
Th  0.6206  0.1207  0.5000
Th  0.6207  0.8794  0.0000
Th  0.8793  0.3794  0.5000
Th  0.8794  0.6207  0.0000

ΔE_f	0.277	eV/atom
crystal system	tetragonal
E	-83.741	eV for the cell shown



The following is a DFT calculation (GGA-PBE) of crystalline CaBeCoPb2 at its relaxed geometry.

abc: 5.0128 5.0128 5.1517
angles: 90.00 90.00 90.00
Fractional coordinates of all 5 atoms:
Ca  0.0000  0.0000  0.0000
Be  0.5000  0.5000  0.0000
Co  0.0000  0.0000  0.5000
Pb  0.0000  0.5000  0.5000
Pb  0.5000  0.0000  0.5000

ΔE_f	0.477	eV/atom
crystal system	tetragonal
E	-17.866	eV for the cell shown



The following is a DFT calculation (GGA-PBE) of crystalline BaOs2O6 at its relaxed geometry.

abc: 4.7071 5.1471 11.5047
angles: 90.00 101.88 90.00
Fractional coordinates of all 18 atoms:
Ba  0.0000  0.0000  0.0000
Ba  0.0000  0.5000  0.5000
Os  0.3048  0.0682  0.7467
Os  0.3048  0.4318  0.2467
Os  0.6952  0.5682  0.7533
Os  0.6952  0.9318  0.2533
O  0.0450  0.1291  0.2414
O  0.0450  0.3709  0.7414
O  0.4112  0.7098  0.1467
O  0.4112  0.7902  0.6467
O  0.4935  0.2063  0.1446
O  0.4935  0.2937  0.6446
O  0.5065  0.7063  0.3554
O  0.5065  0.7937  0.8554
O  0.5888  0.2098  0.3533
O  0.5888  0.2902  0.8533
O  0.9550  0.6291  0.2586
O  0.9550  0.8709  0.7586

crystal system	monoclinic
energy relative to the lowest polymorph listed for this composition	254	meV/atom
E_form (uncorrected)	-26.31	kcal/mol of atoms
E	-128.796	eV for the cell shown



The following is a DFT calculation (GGA-PBE) of crystalline Dy2YZr at its relaxed geometry.

abc: 11.3798 11.3798 11.3798
angles: 17.53 17.53 17.53
Fractional coordinates of all 4 atoms:
Dy  0.0000  0.0000  0.0000
Dy  0.1764  0.1764  0.1764
Y  0.7547  0.7547  0.7547
Zr  0.5882  0.5882  0.5882

ΔE_f	0.079	eV/atom
crystal system	trigonal
energy relative to the lowest polymorph listed for this composition	0	meV/atom
E	-23.900	eV for the cell shown



The following is a DFT calculation (GGA-PBE) of crystalline Dy3ZnPt at its relaxed geometry.

abc: 4.5475 6.8852 8.3932
angles: 90.00 90.00 90.00
Fractional coordinates of all 10 atoms:
Dy  0.2500  0.0036  0.1678
Dy  0.2500  0.2500  0.5497
Dy  0.2500  0.4964  0.1678
Dy  0.7500  0.5036  0.8322
Dy  0.7500  0.7500  0.4503
Dy  0.7500  0.9964  0.8322
Zn  0.2500  0.7500  0.6767
Zn  0.7500  0.2500  0.3233
Pt  0.2500  0.2500  0.8915
Pt  0.7500  0.7500  0.1085

ΔE_f	-0.585	eV/atom
crystal system	orthorhombic
energy relative to the lowest polymorph listed for this composition	43	meV/atom
E	-48.096	eV for the cell shown



The following is a DFT calculation (GGA-PBE) of crystalline Ca2ZnSi3 at its relaxed geometry.

abc: 7.7246 7.7246 7.7246
angles: 149.50 147.94 44.83
Fractional coordinates of all 6 atoms:
Ca  0.0000  0.0000  0.0000
Ca  0.7582  0.2582  0.5000
Zn  0.5900  0.5900  0.0000
Si  0.1698  0.6698  0.5000
Si  0.3330  0.8330  0.5000
Si  0.4220  0.4220  0.0000

crystal system	orthorhombic
E_form (uncorrected)	-9.30	kcal/mol of atoms
E	-23.965	eV for the cell shown



The following is a DFT calculation (GGA-PBE) of crystalline Mn2HgRh at its relaxed geometry.

abc: 4.7233 4.7233 4.9221
angles: 101.87 101.87 37.25
Fractional coordinates of all 4 atoms:
Mn  0.2435  0.2435  0.2326
Mn  0.7565  0.7565  0.7674
Hg  0.0000  0.0000  0.5000
Rh  0.5000  0.5000  0.0000

ΔE_f	0.223	eV/atom
crystal system	monoclinic
E	-25.100	eV for the cell shown